Material: RbBaZnF6
Method: DFT, PBE
State: relaxed

Unit cell a=7.710 b=7.710 c=7.710 alpha=117.10 beta=113.63 gamma=98.25
Element x y z (fractional)
1 Rb 0.332 0.082 0.250
2 Rb 0.668 0.918 0.750
3 Ba 0.000 0.500 0.500
4 Ba 0.500 0.500 0.000
5 Zn 0.000 0.000 0.500
6 Zn 0.000 0.500 0.000
7 F 0.030 0.327 0.119
8 F 0.030 0.911 0.704
9 F 0.072 0.322 0.750
10 F 0.293 0.089 0.619
11 F 0.293 0.673 0.204
12 F 0.394 0.644 0.750
13 F 0.606 0.356 0.250
14 F 0.707 0.327 0.796
15 F 0.707 0.911 0.381
16 F 0.928 0.678 0.250
17 F 0.970 0.089 0.296
18 F 0.970 0.673 0.881

Results
VASP energy   -4.4129 eV per atom
DOS at the Fermi energy   7.956 states/eV per cell
SG   Imma, No. 74
Magnetic moment   1.1 μB/f.u.

Material: Rb2BaZrF6
Method: DFT, PBE
State: relaxed

Unit cell a=6.800 b=6.800 c=6.800 alpha=119.48 beta=119.48 gamma=90.90
Element x y z (fractional)
1 Rb 0.250 0.750 0.500
2 Rb 0.750 0.250 0.500
3 Ba 0.000 0.000 0.000
4 Zr 0.500 0.500 0.000
5 F 0.268 0.268 0.537
6 F 0.268 0.732 0.000
7 F 0.275 0.275 0.000
8 F 0.725 0.725 0.000
9 F 0.732 0.268 0.000
10 F 0.732 0.732 0.463

Results
VASP energy   -5.2968 eV per atom
DOS at the Fermi energy   7.901 states/eV per cell
SG   I4/mmm, No. 139
Magnetic moment   1.4 μB/f.u.

Material: BaReF
Method: DFT, PBE
State: relaxed

Unit cell a=7.283 b=7.283 c=5.552 alpha=111.45 beta=111.45 gamma=30.56
Element x y z (fractional)
1 Ba 0.000 0.000 0.000
2 Ba 0.227 0.227 0.727
3 Re 0.418 0.418 0.432
4 Re 0.811 0.811 0.301
5 F 0.570 0.570 0.401
6 F 0.648 0.648 0.971

Results
E above lowest polymorph   1.36 eV/f.u.
VASP energy   -6.4696 eV per atom
DOS at the Fermi energy   3.114 states/eV per cell
SG   Cm, No. 8
Magnetic moment   0.0 μB/f.u.

Material: BaRe2F2
Method: DFT, PBE
State: relaxed

Unit cell a=10.127 b=10.127 c=10.127 alpha=160.23 beta=160.23 gamma=28.10
Element x y z (fractional)
1 Ba 0.000 0.000 0.000
2 Re 0.250 0.750 0.500
3 Re 0.750 0.250 0.500
4 F 0.436 0.436 0.000
5 F 0.564 0.564 0.000

Results
E above lowest polymorph   0.00 eV/f.u.
VASP energy   -7.0429 eV per atom
DOS at the Fermi energy   2.905 states/eV per cell
SG   I4/mmm, No. 139
Magnetic moment   0.0 μB/f.u.

Material: Ba2ReF
Method: DFT, PBE
State: relaxed

Unit cell a=6.926 b=6.926 c=6.926 alpha=114.00 beta=114.00 gamma=100.76
Element x y z (fractional)
1 Ba 0.074 0.125 0.449
2 Ba 0.375 0.926 0.051
3 Ba 0.676 0.625 0.551
4 Ba 0.875 0.324 0.949
5 Re 0.250 0.750 0.500
6 Re 0.500 0.500 0.000
7 F 0.000 0.000 0.000
8 F 0.750 0.250 0.500

Results
E above lowest polymorph   0.00 eV/f.u.
VASP energy   -4.8224 eV per atom
DOS at the Fermi energy   4.134 states/eV per cell
SG   I-42d, No. 122
Magnetic moment   2.0 μB/f.u.

Material: BaReF
Method: DFT, PBE
State: relaxed

Unit cell a=3.052 b=3.052 c=7.132 alpha=90.00 beta=90.00 gamma=90.00
Element x y z (fractional)
1 Ba 0.000 0.000 0.000
2 Re 0.500 0.500 0.383
3 F 0.500 0.500 0.796

Results
E above lowest polymorph   4.35 eV/f.u.
VASP energy   -5.4704 eV per atom
DOS at the Fermi energy   1.637 states/eV per cell
SG   P4mm, No. 99
Magnetic moment   0.0 μB/f.u.

Material: Ba2ReF
Method: DFT, PBE
State: relaxed

Unit cell a=5.403 b=5.403 c=5.403 alpha=60.00 beta=60.00 gamma=60.00
Element x y z (fractional)
1 Ba 0.250 0.250 0.250
2 Ba 0.750 0.750 0.750
3 Re 0.000 0.000 0.000
4 F 0.500 0.500 0.500

Results
E above lowest polymorph   1.10 eV/f.u.
VASP energy   -4.5481 eV per atom
DOS at the Fermi energy   3.517 states/eV per cell
SG   Fm-3m, No. 225
Magnetic moment   2.0 μB/f.u.

Material: BaReF
Method: DFT, PBE
State: relaxed

Unit cell a=9.746 b=9.746 c=9.746 alpha=24.97 beta=24.97 gamma=24.97
Element x y z (fractional)
1 Ba 0.098 0.098 0.098
2 Ba 0.902 0.902 0.902
3 Re 0.338 0.338 0.338
4 Re 0.662 0.662 0.662
5 F 0.198 0.198 0.198
6 F 0.802 0.802 0.802

Results
E above lowest polymorph   0.00 eV/f.u.
VASP energy   -6.9213 eV per atom
DOS at the Fermi energy   2.335 states/eV per cell
SG   R-3m, No. 166
Magnetic moment   0.0 μB/f.u.

Material: BaReF
Method: DFT, PBE
State: relaxed

Unit cell a=3.058 b=4.277 c=4.780 alpha=90.00 beta=90.00 gamma=90.00
Element x y z (fractional)
1 Ba 0.000 0.000 0.000
2 Re 0.500 0.500 0.500
3 F 0.500 0.000 0.500

Results
E above lowest polymorph   4.49 eV/f.u.
VASP energy   -5.4244 eV per atom
DOS at the Fermi energy   2.843 states/eV per cell
SG   Pmmm, No. 47
Magnetic moment   0.5 μB/f.u.

Material: BaRe2F2
Method: DFT, PBE
State: relaxed

Unit cell a=8.193 b=8.193 c=2.827 alpha=90.00 beta=90.00 gamma=90.00
Element x y z (fractional)
1 Ba 0.000 0.000 0.000
2 Ba 0.500 0.500 0.000
3 Re 0.102 0.398 0.500
4 Re 0.398 0.898 0.500
5 Re 0.602 0.102 0.500
6 Re 0.898 0.602 0.500
7 F 0.245 0.255 0.000
8 F 0.255 0.755 0.000
9 F 0.745 0.245 0.000
10 F 0.755 0.745 0.000

Results
E above lowest polymorph   4.10 eV/f.u.
VASP energy   -6.2223 eV per atom
DOS at the Fermi energy   7.469 states/eV per cell
SG   P4/mbm, No. 127
Magnetic moment   0.0 μB/f.u.

Material: BaReF
Method: DFT, PBE
State: relaxed

Unit cell a=4.165 b=4.178 c=9.492 alpha=89.79 beta=89.75 gamma=61.77
Element x y z (fractional)
1 Ba 0.000 0.000 0.000
2 Ba 0.345 0.352 0.386
3 Re 0.008 0.015 0.654
4 Re 0.672 0.678 0.686
5 F 0.339 0.341 0.081
6 F 0.684 0.692 0.256

Results
E above lowest polymorph   0.23 eV/f.u.
VASP energy   -6.8441 eV per atom
DOS at the Fermi energy   1.860 states/eV per cell
SG   P1, No. 1
Magnetic moment   0.0 μB/f.u.

Material: BaReF
Method: DFT, PBE
State: relaxed

Unit cell a=10.164 b=10.164 c=10.164 alpha=159.41 beta=159.41 gamma=29.28
Element x y z (fractional)
1 Ba 0.152 0.152 0.000
2 Ba 0.848 0.848 0.000
3 Re 0.000 0.500 0.500
4 Re 0.500 0.000 0.500
5 F 0.301 0.301 0.000
6 F 0.699 0.699 0.000

Results
E above lowest polymorph   0.19 eV/f.u.
VASP energy   -6.8573 eV per atom
DOS at the Fermi energy   4.544 states/eV per cell
SG   I4/mmm, No. 139
Magnetic moment   0.0 μB/f.u.

Material: Ba3ReF
Method: DFT, PBE
State: relaxed

Unit cell a=5.397 b=5.397 c=5.397 alpha=90.00 beta=90.00 gamma=90.00
Element x y z (fractional)
1 Ba 0.000 0.000 0.500
2 Ba 0.000 0.500 0.000
3 Ba 0.500 0.000 0.000
4 Re 0.500 0.500 0.500
5 F 0.000 0.000 0.000

Results
E above lowest polymorph   0.00 eV/f.u.
VASP energy   -4.2841 eV per atom
DOS at the Fermi energy   4.285 states/eV per cell
SG   Pm-3m, No. 221
Magnetic moment   1.4 μB/f.u.

Material: BaReF
Method: DFT, PBE
State: relaxed

Unit cell a=4.210 b=4.210 c=9.816 alpha=102.39 beta=102.39 gamma=59.52
Element x y z (fractional)
1 Ba 0.000 0.000 0.000
2 Ba 0.193 0.193 0.589
3 Re 0.426 0.426 0.281
4 Re 0.766 0.766 0.305
5 F 0.295 0.295 0.889
6 F 0.561 0.561 0.698

Results
E above lowest polymorph   0.10 eV/f.u.
VASP energy   -6.8872 eV per atom
DOS at the Fermi energy   2.353 states/eV per cell
SG   Cm, No. 8
Magnetic moment   0.0 μB/f.u.

Material: BaReF
Method: DFT, PBE
State: relaxed

Unit cell a=3.572 b=3.572 c=10.039 alpha=90.00 beta=90.00 gamma=90.00
Element x y z (fractional)
1 Ba 0.250 0.250 0.196
2 Ba 0.750 0.750 0.804
3 Re 0.250 0.250 0.521
4 Re 0.750 0.750 0.479
5 F 0.250 0.250 0.908
6 F 0.750 0.750 0.092

Results
E above lowest polymorph   0.25 eV/f.u.
VASP energy   -6.8386 eV per atom
DOS at the Fermi energy   0.655 states/eV per cell
SG   P4/nmm, No. 129
Magnetic moment   0.0 μB/f.u.

Material: Ba2ReSiF
Method: DFT, PBE
State: relaxed

Unit cell a=5.582 b=5.582 c=4.243 alpha=90.00 beta=90.00 gamma=90.00
Element x y z (fractional)
1 Ba 0.000 0.500 0.000
2 Ba 0.500 0.000 0.000
3 Re 0.000 0.000 0.500
4 Si 0.500 0.500 0.500
5 F 0.000 0.000 0.000

Results
VASP energy   -4.6815 eV per atom
DOS at the Fermi energy   4.650 states/eV per cell
SG   P4/mmm, No. 123
Magnetic moment   1.8 μB/f.u.

Material: BaRhF6
Method: DFT, PBE
State: relaxed

Unit cell a=6.428 b=6.428 c=6.428 alpha=59.83 beta=59.83 gamma=59.83
Element x y z (fractional)
1 Ba 0.000 0.000 0.000
2 Rh 0.500 0.500 0.500
3 F 0.285 0.714 0.714
4 F 0.286 0.286 0.715
5 F 0.286 0.715 0.286
6 F 0.714 0.285 0.714
7 F 0.714 0.714 0.285
8 F 0.715 0.286 0.286

Results
VASP energy   -4.9973 eV per atom
DOS at the Fermi energy   10.341 states/eV per cell
SG   R-3m, No. 166
Magnetic moment   1.0 μB/f.u.

Material: BaRhF
Method: DFT, PBE
State: relaxed

Unit cell a=4.115 b=4.115 c=9.468 alpha=107.10 beta=107.10 gamma=67.56
Element x y z (fractional)
1 Ba 0.000 0.000 0.000
2 Ba 0.718 0.718 0.425
3 Rh 0.176 0.176 0.712
4 Rh 0.547 0.547 0.712
5 F 0.293 0.293 0.309
6 F 0.688 0.688 0.115

Results
E above lowest polymorph   0.08 eV/f.u.
VASP energy   -5.5537 eV per atom
DOS at the Fermi energy   3.832 states/eV per cell
SG   Cm, No. 8
Magnetic moment   0.0 μB/f.u.

Material: BaRhF2
Method: DFT, PBE
State: relaxed

Unit cell a=6.156 b=6.156 c=6.156 alpha=42.12 beta=42.12 gamma=42.12
Element x y z (fractional)
1 Ba 0.000 0.000 0.000
2 Rh 0.500 0.500 0.500
3 F 0.375 0.375 0.375
4 F 0.625 0.625 0.625

Results
E above lowest polymorph   0.00 eV/f.u.
VASP energy   -5.1332 eV per atom
DOS at the Fermi energy   4.959 states/eV per cell
SG   R-3m, No. 166
Magnetic moment   1.0 μB/f.u.

Material: BaRhF
Method: DFT, PBE
State: relaxed

Unit cell a=4.533 b=4.533 c=4.533 alpha=60.00 beta=60.00 gamma=60.00
Element x y z (fractional)
1 Ba 0.000 0.000 0.000
2 Rh 0.500 0.500 0.500
3 F 0.750 0.750 0.750

Results
E above lowest polymorph   3.01 eV/f.u.
VASP energy   -4.5766 eV per atom
DOS at the Fermi energy   7.027 states/eV per cell
SG   F-43m, No. 216
Magnetic moment   0.2 μB/f.u.

Material: BaRhF2
Method: DFT, PBE
State: relaxed

Unit cell a=4.988 b=4.988 c=4.988 alpha=50.92 beta=50.92 gamma=50.92
Element x y z (fractional)
1 Ba 0.000 0.000 0.000
2 Rh 0.500 0.500 0.500
3 F 0.226 0.226 0.226
4 F 0.774 0.774 0.774

Results
E above lowest polymorph   0.78 eV/f.u.
VASP energy   -4.9392 eV per atom
DOS at the Fermi energy   2.308 states/eV per cell
SG   R-3m, No. 166
Magnetic moment   1.0 μB/f.u.

Material: BaRhF
Method: DFT, PBE
State: relaxed

Unit cell a=4.563 b=4.563 c=4.563 alpha=60.00 beta=60.00 gamma=60.00
Element x y z (fractional)
1 Ba 0.000 0.000 0.000
2 Rh 0.250 0.250 0.250
3 F 0.500 0.500 0.500

Results
E above lowest polymorph   3.59 eV/f.u.
VASP energy   -4.3851 eV per atom
DOS at the Fermi energy   2.721 states/eV per cell
SG   F-43m, No. 216
Magnetic moment   0.0 μB/f.u.

Material: Ba4Rh2F
Method: DFT, PBE
State: relaxed

Unit cell a=8.861 b=8.861 c=8.861 alpha=145.27 beta=145.27 gamma=49.94
Element x y z (fractional)
1 Ba 0.000 0.500 0.500
2 Ba 0.196 0.196 0.000
3 Ba 0.500 0.000 0.500
4 Ba 0.804 0.804 0.000
5 Rh 0.378 0.378 0.000
6 Rh 0.622 0.622 0.000
7 F 0.000 0.000 0.000

Results
VASP energy   -4.2863 eV per atom
DOS at the Fermi energy   2.594 states/eV per cell
SG   I4/mmm, No. 139
Magnetic moment   0.0 μB/f.u.

Material: BaRhF
Method: DFT, PBE
State: relaxed

Unit cell a=4.249 b=4.249 c=7.830 alpha=90.00 beta=90.00 gamma=120.00
Element x y z (fractional)
1 Ba 0.000 0.000 0.000
2 Ba 0.000 0.000 0.500
3 Rh 0.333 0.667 0.250
4 Rh 0.667 0.333 0.750
5 F 0.333 0.667 0.750
6 F 0.667 0.333 0.250

Results
E above lowest polymorph   2.95 eV/f.u.
VASP energy   -4.5981 eV per atom
DOS at the Fermi energy   0.791 states/eV per cell
SG   P6_3/mmc, No. 194
Magnetic moment   0.0 μB/f.u.

Material: BaRhF3
Method: DFT, PBE
State: relaxed

Unit cell a=4.424 b=4.424 c=4.424 alpha=90.00 beta=90.00 gamma=90.00
Element x y z (fractional)
1 Ba 0.000 0.000 0.000
2 Rh 0.500 0.500 0.500
3 F 0.000 0.500 0.500
4 F 0.500 0.000 0.500
5 F 0.500 0.500 0.000

Results
E above lowest polymorph   0.00 eV/f.u.
VASP energy   -5.0237 eV per atom
DOS at the Fermi energy   1.999 states/eV per cell
SG   Pm-3m, No. 221
Magnetic moment   0.0 μB/f.u.